Record 1
# NdMg2Tl

A relaxed structure of NdMg2Tl (PBE, Alexandria via LeMat-Bulk).

Cell: 4.9292 4.6321 4.6321 Å, 90.00 90.00 90.00°
Sites, in units of the cell vectors:
Tl1 0.5000 0.0000 0.0000
Nd1 0.5000 0.5000 0.5000
Mg1 0.0000 0.0000 0.5000
Mg2 0.0000 0.5000 0.0000

Computed properties:
The calculation puts the density at 6.24 g/cm³. Its energy above the most stable polymorph in this dataset is 0.0000 eV/atom. As for the symmetry: No. 123. As for the calculated formation energy: -0.2314 eV per atom.



Record 2
# NdMg4Tl5

A relaxed structure of NdMg4Tl5 (PBE, Alexandria via LeMat-Bulk).

Cell: 3.7074 3.7074 18.6132 Å, 90.00 90.00 90.00°
Sites, in units of the cell vectors:
Nd1 0.0000 0.0000 0.0000
Mg1 0.0000 0.0000 0.2088
Mg2 0.0000 0.0000 0.4018
Mg3 0.0000 0.0000 0.5982
Mg4 0.0000 0.0000 0.7912
Tl1 0.5000 0.5000 0.1147
Tl2 0.5000 0.5000 0.3055
Tl3 0.5000 0.5000 0.5000
Tl4 0.5000 0.5000 0.6945
Tl5 0.5000 0.5000 0.8853

Computed properties:
The calculation puts the density at 8.20 g/cm³. As for the symmetry: No. 123. As for the calculated formation energy: -0.1071 eV per atom.



The lowest density belongs to which entry? NdMg2Tl



Copy entry 1 word for word.
# NdMg2Tl

A relaxed structure of NdMg2Tl (PBE, Alexandria via LeMat-Bulk).

Cell: 4.9292 4.6321 4.6321 Å, 90.00 90.00 90.00°
Sites, in units of the cell vectors:
Tl1 0.5000 0.0000 0.0000
Nd1 0.5000 0.5000 0.5000
Mg1 0.0000 0.0000 0.5000
Mg2 0.0000 0.5000 0.0000

Computed properties:
The calculation puts the density at 6.24 g/cm³. Its energy above the most stable polymorph in this dataset is 0.0000 eV/atom. As for the symmetry: No. 123. As for the calculated formation energy: -0.2314 eV per atom.



calculated formation energy of number 2 (NdMg4Tl5)? -0.1071 eV per atom